VASP calculation (PBEsol) on CdCu2Re after structural relaxation.

The structure in POSCAR format:
```
CdCu2Re
1.0
2.717 0.000 0.000
1.359 2.353 0.000
1.359 0.784 8.871
Cd Cu Re
1 2 1
Direct
0.000 0.000 0.000
0.246 0.246 0.261
0.754 0.754 0.739
0.500 0.500 0.500
```

Values from the calculation:
V	14.183	A^3/atom
density of states at the Fermi level	2.19	states/eV/f.u.
symmetry	R-3m (166)
raw total energy	-22.116	eV for the cell shown
spin magnetization	0.00	μB/f.u.
formation enthalpy at 0 K	270	meV per atom